VASP calculation (SCAN) on a crystal of ZrReAs2Br relaxed with PBEsol.

Unit cell a=5.1587 b=5.1587 c=5.0694 alpha=90.00 beta=90.00 gamma=90.00
Positions (direct):
Zr 0.0000 0.0000 0.0000
Re 0.5000 0.5000 0.5000
As 0.0000 0.5000 0.0000
As 0.5000 0.0000 0.0000
Br 0.0000 0.0000 0.5000

Output
Formation energy (no corrections) (meV/atom): 1039
Magnetic moment (μB/f.u.): 4.850

=====

VASP calculation (SCAN) on a crystal of FePO4 relaxed with PBEsol.

Unit cell a=8.8076 b=9.2557 c=9.7394 alpha=90.00 beta=90.00 gamma=90.00
Positions (direct):
Fe 0.0635 0.2102 0.1055
Fe 0.0635 0.2898 0.6055
Fe 0.4365 0.7102 0.1055
Fe 0.4365 0.7898 0.6055
Fe 0.5635 0.2102 0.3945
Fe 0.5635 0.2898 0.8945
Fe 0.9365 0.7102 0.3945
Fe 0.9365 0.7898 0.8945
P 0.1209 0.6228 0.6699
P 0.1209 0.8772 0.1699
P 0.3791 0.1228 0.6699
P 0.3791 0.3772 0.1699
P 0.6209 0.6228 0.8301
P 0.6209 0.8772 0.3301
P 0.8791 0.1228 0.8301
P 0.8791 0.3772 0.3301
O 0.0111 0.1654 0.9266
O 0.0111 0.3346 0.4266
O 0.1015 0.7033 0.8074
O 0.1015 0.7967 0.3074
O 0.1171 0.0413 0.1966
O 0.1171 0.4587 0.6966
O 0.2258 0.1624 0.6042
O 0.2258 0.3376 0.1042
O 0.2742 0.6624 0.6042
O 0.2742 0.8376 0.1042
O 0.3829 0.5413 0.1966
O 0.3829 0.9587 0.6966
O 0.3985 0.2033 0.8074
O 0.3985 0.2967 0.3074
O 0.4889 0.6654 0.9266
O 0.4889 0.8346 0.4266
O 0.5111 0.1654 0.5734
O 0.5111 0.3346 0.0734
O 0.6015 0.7033 0.6926
O 0.6015 0.7967 0.1926
O 0.6171 0.0413 0.3034
O 0.6171 0.4587 0.8034
O 0.7258 0.1624 0.8958
O 0.7258 0.3376 0.3958
O 0.7742 0.6624 0.8958
O 0.7742 0.8376 0.3958
O 0.8829 0.5413 0.3034
O 0.8829 0.9587 0.8034
O 0.8985 0.2033 0.6926
O 0.8985 0.2967 0.1926
O 0.9889 0.6654 0.5734
O 0.9889 0.8346 0.0734

Output
Formation energy (no corrections) (meV/atom): -2137
Magnetic moment (μB/f.u.): 5.000

=====

VASP calculation (SCAN) on a crystal of AlInTc3 relaxed with PBEsol.

Unit cell a=4.7732 b=4.7732 c=4.7732 alpha=90.00 beta=90.00 gamma=90.00
Positions (direct):
Al 0.0000 0.0000 0.0000
In 0.5000 0.5000 0.5000
Tc 0.0000 0.5000 0.5000
Tc 0.5000 0.0000 0.5000
Tc 0.5000 0.5000 0.0000

Output
Magnetic moment (μB/f.u.): 6.719
Energy of formation from the pure elements (eV per atom): 2.238

=====

VASP calculation (SCAN) on a crystal of FeIr2W relaxed with PBEsol.

Unit cell a=3.8225 b=3.8225 c=7.5062 alpha=90.00 beta=90.00 gamma=90.00
Positions (direct):
Fe 0.0000 0.0000 0.0000
Fe 0.5000 0.5000 0.5000
Ir 0.0000 0.5000 0.2500
Ir 0.0000 0.5000 0.7500
Ir 0.5000 0.0000 0.2500
Ir 0.5000 0.0000 0.7500
W 0.0000 0.0000 0.5000
W 0.5000 0.5000 0.0000

Output
Magnetic moment (μB/f.u.): 2.632
Relative energy among the computed polymorphs (kcal/mol of atoms): 0.00
Energy of formation from the pure elements (eV per atom): -0.342

=====

VASP calculation (SCAN) on a crystal of BaFe2O4 relaxed with PBEsol.

Unit cell a=10.4410 b=10.4410 c=5.3686 alpha=90.00 beta=90.00 gamma=132.33
Positions (direct):
Ba 0.1158 0.8842 0.5000
Ba 0.3669 0.6331 0.9572
Ba 0.6331 0.3669 0.4572
Ba 0.8842 0.1158 0.0000
Fe 0.0000 0.4198 0.4705
Fe 0.0000 0.5802 0.9705
Fe 0.1781 0.2661 0.4931
Fe 0.2661 0.1781 0.9931
Fe 0.4198 0.0000 0.9705
Fe 0.5802 0.0000 0.4705
Fe 0.7339 0.8219 0.4931
Fe 0.8219 0.7339 0.9931
O 0.0050 0.4205 0.8208
O 0.0499 0.9501 0.9811
O 0.1709 0.4241 0.3434
O 0.2166 0.7834 0.8650
O 0.2372 0.3175 0.8324
O 0.3175 0.2372 0.3324
O 0.4205 0.0050 0.3208
O 0.4241 0.1709 0.8434
O 0.5759 0.8291 0.3434
O 0.5795 0.9950 0.8208
O 0.6825 0.7628 0.8324
O 0.7628 0.6825 0.3324
O 0.7834 0.2166 0.3650
O 0.8291 0.5759 0.8434
O 0.9501 0.0499 0.4811
O 0.9950 0.5795 0.3208

Output
Formation energy (no corrections) (meV/atom): -2067
Magnetic moment (μB/f.u.): 10.000

=====

VASP calculation (SCAN) on a crystal of Ag3RhN relaxed with PBEsol.

Unit cell a=4.9711 b=4.9711 c=4.9711 alpha=90.00 beta=90.00 gamma=90.00
Positions (direct):
Ag 0.0000 0.0000 0.5000
Ag 0.0000 0.5000 0.0000
Ag 0.5000 0.0000 0.0000
Rh 0.0000 0.0000 0.0000
N 0.5000 0.5000 0.5000

Output
Formation energy (no corrections) (meV/atom): 1984
Magnetic moment (μB/f.u.): 3.355